First-principles (PBE) data for crystalline MnAsIBr2 at its relaxed geometry, as listed in Alexandria.

POSCAR file:
```
MnAsIBr2
1.0
4.875 0.000 0.000
0.000 4.875 0.000
0.000 0.000 4.991
Mn As I Br
1 1 1 2
direct
0.000 0.000 0.000
0.000 0.000 0.500
0.500 0.500 0.500
0.000 0.500 0.000
0.500 0.000 0.000
```

Output
D(E_F) (states/eV per atom): 0.67
Distance to the lowest polymorph of the same formula (eV per formula unit): 0.00



First-principles (PBE) data for crystalline SrTa2O7 at its relaxed geometry, as listed in Alexandria.

POSCAR file:
```
SrTa2O7
1.0
3.984 0.000 0.000
0.000 3.984 0.000
0.000 0.000 9.245
Sr Ta O
1 2 7
direct
0.000 0.000 0.000
0.500 0.500 0.222
0.500 0.500 0.778
0.000 0.500 0.199
0.000 0.500 0.801
0.500 0.000 0.199
0.500 0.000 0.801
0.500 0.500 0.000
0.500 0.500 0.427
0.500 0.500 0.573
```

Output
D(E_F) (states/eV per atom): 0.00
Distance to the lowest polymorph of the same formula (eV per formula unit): 0.00



First-principles (PBE) data for crystalline TlSbN3 at its relaxed geometry, as listed in Alexandria.

POSCAR file:
```
TlSbN3
1.0
4.104 0.000 0.000
0.000 4.104 0.000
0.000 0.000 4.104
Tl Sb N
1 1 3
direct
0.000 0.000 0.000
0.500 0.500 0.500
0.000 0.500 0.500
0.500 0.000 0.500
0.500 0.500 0.000
```

Output
D(E_F) (states/eV per atom): 0.80
Calculated total energy (eV for the cell shown): -24.017